i | Entry from Alexandria: Ba2CaSc at its PBEsol-relaxed geometry (meta-GGA SCAN).

* M_tot: 0.49 μB/f.u.
* space-group type: F-43m (216)

a = 6.139 Å, b = 6.139 Å, c = 6.139 Å
α = 60.00°, β = 60.00°, γ = 60.00°
Atoms (fractional coordinates):
Sc 0.250 0.250 0.250
Ba 0.000 0.000 0.000
Ba 0.750 0.750 0.750
Ca 0.500 0.500 0.500

---

ii | Entry from Alexandria: Ba2CaSc at its PBEsol-relaxed geometry (meta-GGA SCAN).

* M_tot: 0.15 μB/f.u.
* space-group type: Immm (71)

a = 4.259 Å, b = 6.141 Å, c = 7.290 Å
α = 114.91°, β = 106.98°, γ = 90.00°
Atoms (fractional coordinates):
Ca 0.500 0.000 0.000
Ba 0.273 0.273 0.546
Ba 0.727 0.727 0.454
Sc 0.000 0.500 0.000

---

Unit: meV per atom. Relative energies: i 0; ii 18.

---

i | Entry from Alexandria: BaCaSe at its PBEsol-relaxed geometry (meta-GGA SCAN).

* M_tot: 0.00 μB/f.u.
* space-group type: F-43m (216)

a = 5.220 Å, b = 5.220 Å, c = 5.220 Å
α = 60.00°, β = 60.00°, γ = 60.00°
Atoms (fractional coordinates):
Ba 0.000 0.000 0.000
Se 0.250 0.250 0.250
Ca 0.500 0.500 0.500

---

ii | Entry from Alexandria: BaCaSe at its PBEsol-relaxed geometry (meta-GGA SCAN).

* M_tot: 0.09 μB/f.u.
* space-group type: P3m1 (156)

a = 4.253 Å, b = 4.253 Å, c = 7.365 Å
α = 90.00°, β = 90.00°, γ = 120.00°
Atoms (fractional coordinates):
Ba 0.000 0.000 0.072
Se 0.667 0.333 0.358
Ca 0.333 0.667 0.570

---

Unit: meV per atom. Relative energies: i 296; ii 0.

---

i | Entry from Alexandria: BaCaSi2 at its PBEsol-relaxed geometry (meta-GGA SCAN).

* M_tot: 0.00 μB/f.u.
* space-group type: P4/mmm (123)

a = 4.442 Å, b = 4.831 Å, c = 4.831 Å
α = 90.00°, β = 90.00°, γ = 90.00°
Atoms (fractional coordinates):
Si 0.000 0.000 0.500
Si 0.000 0.500 0.000
Ca 0.500 0.000 0.000
Ba 0.500 0.500 0.500

---

ii | Entry from Alexandria: BaCaSi2 at its PBEsol-relaxed geometry (meta-GGA SCAN).

* M_tot: 0.00 μB/f.u.
* space-group type: P4/mmm (123)

a = 3.946 Å, b = 3.946 Å, c = 6.837 Å
α = 90.00°, β = 90.00°, γ = 90.00°
Atoms (fractional coordinates):
Ca 0.500 0.500 0.500
Si 0.000 0.000 0.328
Si 0.000 0.000 0.672
Ba 0.500 0.500 0.000

---

iii | Entry from Alexandria: BaCaSi2 at its PBEsol-relaxed geometry (meta-GGA SCAN).

* M_tot: 0.00 μB/f.u.
* space-group type: Amm2 (38)

a = 3.970 Å, b = 4.672 Å, c = 6.334 Å
α = 111.64°, β = 90.00°, γ = 90.00°
Atoms (fractional coordinates):
Ca 0.500 0.753 0.505
Si 0.500 0.073 0.147
Si 0.000 0.195 0.390
Ba 0.000 0.479 0.957

---

Unit: meV per atom. Relative energies: i 439; ii 135; iii 0.

---

i | Entry from Alexandria: BaSrCa2 at its PBEsol-relaxed geometry (meta-GGA SCAN).

* M_tot: 1.00 μB/f.u.
* space-group type: Fm-3m (225)

a = 6.446 Å, b = 6.446 Å, c = 6.446 Å
α = 60.00°, β = 60.00°, γ = 60.00°
Atoms (fractional coordinates):
Sr 0.500 0.500 0.500
Ca 0.750 0.750 0.750
Ca 0.250 0.250 0.250
Ba 0.000 0.000 0.000

---

ii | Entry from Alexandria: BaSrCa2 at its PBEsol-relaxed geometry (meta-GGA SCAN).

* M_tot: 0.53 μB/f.u.
* space-group type: Cmm2 (35)

a = 4.085 Å, b = 4.085 Å, c = 11.433 Å
α = 90.00°, β = 90.00°, γ = 90.11°
Atoms (fractional coordinates):
Ca 0.000 0.000 0.981
Ca 0.500 0.500 0.762
Ba 0.500 0.500 0.238
Sr 0.000 0.000 0.519

---

Unit: meV per atom. Relative energies: i 16; ii 0.

---

i | Entry from Alexandria: BaSrCa2 at its PBEsol-relaxed geometry (meta-GGA SCAN).

* M_tot: 0.05 μB/f.u.
* space-group type: Imm2 (44)

a = 4.461 Å, b = 6.522 Å, c = 7.601 Å
α = 115.41°, β = 107.06°, γ = 90.00°
Atoms (fractional coordinates):
Sr 0.491 0.491 0.982
Ca 0.743 0.243 0.486
Ca 0.010 0.010 0.021
Ba 0.255 0.755 0.510

---

ii | Entry from Alexandria: BaSrCa2 at its PBEsol-relaxed geometry (meta-GGA SCAN).

* M_tot: 0.45 μB/f.u.
* space-group type: I4/mmm (139)

a = 5.875 Å, b = 5.875 Å, c = 6.936 Å
α = 115.06°, β = 115.06°, γ = 90.00°
Atoms (fractional coordinates):
Ca 0.250 0.750 0.500
Ca 0.750 0.250 0.500
Ba 0.000 0.000 0.000
Sr 0.500 0.500 0.000

---

Unit: meV per atom. Relative energies: i 0; ii 6.

---

i | Entry from Alexandria: BaSrCa2 at its PBEsol-relaxed geometry (meta-GGA SCAN).

* M_tot: 0.00 μB/f.u.
* space-group type: Pm (6)

a = 3.924 Å, b = 6.505 Å, c = 7.408 Å
α = 90.00°, β = 98.42°, γ = 90.00°
Atoms (fractional coordinates):
Ba 0.265 0.500 0.761
Ca 0.966 0.000 0.999
Ca 0.781 0.500 0.253
Sr 0.489 0.000 0.487

---

ii | Entry from Alexandria: BaSrCa2 at its PBEsol-relaxed geometry (meta-GGA SCAN).

* M_tot: 0.08 μB/f.u.
* space-group type: Immm (71)

a = 4.679 Å, b = 6.346 Å, c = 7.437 Å
α = 115.25°, β = 108.34°, γ = 90.00°
Atoms (fractional coordinates):
Sr 0.500 0.000 0.000
Ca 0.753 0.753 0.506
Ca 0.247 0.247 0.494
Ba 0.000 0.500 0.000

---

Unit: meV per atom. Relative energies: i 0; ii 13.